# 1
A relaxed CaZnW2 crystal, computed with PBE.

a b c (Å): 5.660 5.660 5.041
angles (deg): 73.30 73.30 28.03
Fractional coordinates of all 4 atoms:
1 W 0.975 0.975 0.020
2 W 0.525 0.525 0.480
3 Ca 0.750 0.750 0.750
4 Zn 0.250 0.250 0.250

Properties
DFT formation energy, meV/atom: 568

=====

# 2
A relaxed B5C7 crystal, computed with PBE.

a b c (Å): 5.972 5.949 3.608
angles (deg): 87.92 93.22 141.91
Fractional coordinates of all 12 atoms:
1 B 0.811 0.636 0.267
2 B 0.223 0.886 0.505
3 B 0.821 0.123 0.465
4 B 0.943 0.497 0.731
5 B 0.356 0.680 0.995
6 C 0.679 0.826 0.754
7 C 0.331 0.174 0.765
8 C 0.519 0.032 0.250
9 C 0.014 0.009 0.010
10 C 0.177 0.333 0.244
11 C 0.642 0.317 0.998
12 C 0.484 0.488 0.515

Properties
DFT formation energy, meV/atom: 380

=====

# 3
A relaxed BeTe2Au2 crystal, computed with PBE.

a b c (Å): 3.741 3.741 8.795
angles (deg): 77.72 77.72 90.00
Fractional coordinates of all 5 atoms:
1 Be 0.000 0.000 0.000
2 Te 0.414 0.414 0.172
3 Te 0.586 0.586 0.828
4 Au 0.250 0.750 0.500
5 Au 0.750 0.250 0.500

Properties
Raw formation energy, eV/atom: 0.434

=====

# 4
A relaxed Er7Ag2Ru2 crystal, computed with PBE.

a b c (Å): 6.621 7.006 6.621
angles (deg): 90.00 107.78 90.00
Fractional coordinates of all 11 atoms:
1 Er 0.000 0.000 0.000
2 Er 0.500 0.245 0.500
3 Er 0.000 0.744 0.500
4 Er 0.500 0.744 0.000
5 Er 0.500 0.256 0.000
6 Er 0.000 0.256 0.500
7 Er 0.500 0.755 0.500
8 Ag 0.179 0.500 0.179
9 Ag 0.821 0.500 0.821
10 Ru 0.707 0.000 0.293
11 Ru 0.293 0.000 0.707

Properties
DFT formation energy, meV/atom: -198

=====

# 5
A relaxed SrAcIn2 crystal, computed with PBE.

a b c (Å): 4.090 4.090 10.592
angles (deg): 78.87 78.87 60.00
Fractional coordinates of all 4 atoms:
1 In 0.249 0.249 0.252
2 In 0.751 0.751 0.748
3 Ac 0.000 0.000 0.000
4 Sr 0.500 0.500 0.500

Properties
DFT formation energy, meV/atom: -231

=====

# 6
A relaxed LiAc2MgCd6 crystal, computed with PBE.

a b c (Å): 6.995 7.499 7.002
angles (deg): 62.48 60.06 89.99
Fractional coordinates of all 10 atoms:
1 Cd 0.263 0.339 0.915
2 Cd 0.743 0.667 0.516
3 Cd 0.257 0.333 0.484
4 Cd 0.737 0.661 0.085
5 Cd 0.822 0.339 0.918
6 Cd 0.178 0.661 0.082
7 Ac 0.285 0.857 0.429
8 Ac 0.715 0.143 0.571
9 Li 0.500 0.500 0.000
10 Mg 0.000 0.000 0.000

Properties
DFT formation energy, meV/atom: -160

=====

Raw total energy list, top to bottom, in eV/cell: -26.91 -93.40 -14.39 -58.37 -12.19 -18.82
Calculated volume list, top to bottom, in Å³/atom: 18.1 6.6 23.5 26.6 37.4 26.9